Here is crystalline Rb2LiHg6Au at its relaxed geometry from Alexandria. Energies are from PBE.

Values from the calculation:
- Crystal system: monoclinic
- Space group: No. 12
- Energy of formation: -0.223 eV per atom

Structure (POSCAR):
```
Rb2LiHg6Au
1.0
6.442 -3.729 0.000
6.442 3.729 0.000
-4.266 0.000 6.618
Rb Li Hg Au
2 1 6 1
direct
0.212 0.212 0.136 Rb
0.788 0.788 0.864 Rb
0.000 0.000 0.500 Li
0.244 0.244 0.664 Hg
0.245 0.676 0.664 Hg
0.324 0.755 0.336 Hg
0.676 0.245 0.664 Hg
0.755 0.324 0.336 Hg
0.756 0.756 0.336 Hg
0.500 0.500 0.000 Au
```

---

Here is crystalline AlCdHg4 at its relaxed geometry from Alexandria. Energies are from PBE.

Values from the calculation:
- Crystal system: cubic
- Space group: No. 216
- Energy of formation: 0.275 eV per atom

Structure (POSCAR):
```
AlCdHg4
1.0
0.000 4.287 4.287
4.287 0.000 4.287
4.287 4.287 0.000
Al Cd Hg
1 1 4
direct
0.000 0.000 0.000 Al
0.750 0.750 0.750 Cd
0.375 0.375 0.375 Hg
0.375 0.375 0.875 Hg
0.375 0.875 0.375 Hg
0.875 0.375 0.375 Hg
```

---

Here is crystalline K4Pa3CdO12 at its relaxed geometry from Alexandria. Energies are from PBE.

Values from the calculation:
- Crystal system: cubic
- Space group: No. 229
- Uncorrected formation energy: -49.53 eV/f.u.

Structure (POSCAR):
```
K4Pa3CdO12
1.0
-4.371 4.371 4.371
4.371 -4.371 4.371
4.371 4.371 -4.371
K Pa Cd O
4 3 1 12
direct
0.000 0.000 0.500 K
0.000 0.500 0.000 K
0.500 0.000 0.000 K
0.500 0.500 0.500 K
0.000 0.500 0.500 Pa
0.500 0.000 0.500 Pa
0.500 0.500 0.000 Pa
0.000 0.000 0.000 Cd
0.000 0.264 0.264 O
0.000 0.736 0.736 O
0.250 0.500 0.750 O
0.250 0.750 0.500 O
0.264 0.000 0.264 O
0.264 0.264 0.000 O
0.500 0.250 0.750 O
0.500 0.750 0.250 O
0.736 0.000 0.736 O
0.736 0.736 0.000 O
0.750 0.250 0.500 O
0.750 0.500 0.250 O
```

---

Here is crystalline CuTeP2Cl at its relaxed geometry from Alexandria. Energies are from PBE.

Values from the calculation:
- Crystal system: tetragonal
- Space group: No. 123
- Uncorrected formation energy: 5.87 eV/f.u.
- Polymorph energy (0 for the lowest one): 3.24 eV/f.u.

Structure (POSCAR):
```
CuTeP2Cl
1.0
5.075 0.000 0.000
0.000 5.075 0.000
0.000 0.000 5.251
Cu Te P Cl
1 1 2 1
direct
0.000 0.000 0.000 Cu
0.500 0.500 0.500 Te
0.000 0.500 0.500 P
0.500 0.000 0.500 P
0.500 0.500 0.000 Cl
```

---

no.,final energy (eV per cell)
1,-11.16
2,-4.21
3,-142.82
4,-14.03